[1]
# SrIrO4 (PBE, optimized geometry)
data_SrIrO4
_cell_length_a 5.4433
_cell_length_b 13.1710
_cell_length_c 5.1688
_cell_angle_alpha 90.00
_cell_angle_beta 90.54
_cell_angle_gamma 90.00
_symmetry_space_group_name_H-M 'C 1 2/c 1'
_symmetry_Int_Tables_number 15
loop_
_symmetry_equiv_pos_as_xyz
'x,y,z'
'-x,-y,-z'
'-x,y,-z+1/2'
'x,-y,z+1/2'
'x+1/2,y+1/2,z'
'-x+1/2,-y+1/2,-z'
'-x+1/2,y+1/2,-z+1/2'
'x+1/2,-y+1/2,z+1/2'
loop_
_atom_site_label
_atom_site_type_symbol
_atom_site_fract_x
_atom_site_fract_y
_atom_site_fract_z
Sr1 Sr 0.0000 0.1667 0.2500
Ir1 Ir 0.0000 0.4323 0.2500
O1 O 0.1841 0.4558 0.5702
O2 O 0.2302 0.3326 0.1562
# Polymorph energy (0 for the lowest one)   0.00 eV/f.u.
# Total magnetic moment   0.924 μB/f.u.
# Crystal system   monoclinic
# E   -155.951 eV for the cell shown
# Formation energy without anion corrections   -1.435 eV/atom


[2]
# Y2NpScS6 (PBE, optimized geometry)
data_Y2NpScS6
_cell_length_a 6.8325
_cell_length_b 6.8325
_cell_length_c 18.4136
_cell_angle_alpha 90.00
_cell_angle_beta 90.00
_cell_angle_gamma 120.00
_symmetry_space_group_name_H-M 'R 3'
_symmetry_Int_Tables_number 146
_symmetry_space_group_name_Hall 'R 3'
loop_
_atom_site_label
_atom_site_type_symbol
_atom_site_fract_x
_atom_site_fract_y
_atom_site_fract_z
Y1 Y 0.0000 0.0000 0.0000
Y2 Y 0.0000 0.0000 0.4959
Np1 Np 0.0000 0.0000 0.1984
Sc1 Sc 0.0000 0.0000 0.6946
S1 S 0.0338 0.3465 0.7649
S2 S 0.0409 0.6689 0.2680
# Total magnetic moment   4.000 μB/f.u.
# Crystal system   trigonal
# E   -224.734 eV for the cell shown
# Formation energy without anion corrections   -1.795 eV/atom


[3]
# TmThGa4 (PBE, optimized geometry)
data_TmThGa4
_cell_length_a 7.8981
_cell_length_b 7.8981
_cell_length_c 7.8981
_cell_angle_alpha 90.00
_cell_angle_beta 90.00
_cell_angle_gamma 90.00
_symmetry_space_group_name_H-M 'F -4 3 m'
_symmetry_Int_Tables_number 216
_symmetry_space_group_name_Hall 'F -4 2 3'
loop_
_atom_site_label
_atom_site_type_symbol
_atom_site_fract_x
_atom_site_fract_y
_atom_site_fract_z
Tm1 Tm 0.0000 0.0000 0.0000
Th1 Th 0.2500 0.2500 0.7500
Ga1 Ga 0.1250 0.1250 0.3750
# Polymorph energy (0 for the lowest one)   0.87 eV/f.u.
# Formation enthalpy at 0 K   -2.759 eV/f.u.
# Total magnetic moment   0.000 μB/f.u.
# Crystal system   cubic
# E   -107.033 eV for the cell shown


[4]
# SmY5Er6 (PBE, optimized geometry)
data_SmY5Er6
_cell_length_a 6.1399
_cell_length_b 10.6222
_cell_length_c 11.7466
_cell_angle_alpha 90.00
_cell_angle_beta 99.99
_cell_angle_gamma 90.00
_symmetry_space_group_name_H-M 'C 1 2/m 1'
_symmetry_Int_Tables_number 12
loop_
_symmetry_equiv_pos_as_xyz
'x,y,z'
'-x,-y,-z'
'-x,y,-z'
'x,-y,z'
'x+1/2,y+1/2,z'
'-x+1/2,-y+1/2,-z'
'-x+1/2,y+1/2,-z'
'x+1/2,-y+1/2,z'
loop_
_atom_site_label
_atom_site_type_symbol
_atom_site_fract_x
_atom_site_fract_y
_atom_site_fract_z
Sm1 Sm 0.0000 0.0000 0.0000
Y1 Y 0.0000 0.1669 0.5000
Y2 Y 0.0000 0.3333 0.0000
Y3 Y 0.0000 0.5000 0.5000
Er1 Er 0.2496 0.0000 0.7497
Er2 Er 0.2500 0.1665 0.2505
# Formation enthalpy at 0 K   0.293 eV/f.u.
# Total magnetic moment   0.000 μB/f.u.
# Crystal system   monoclinic
# E   -128.247 eV for the cell shown


[5]
# KSr2Bi (PBE, optimized geometry)
data_KSr2Bi
_cell_length_a 4.9966
_cell_length_b 4.9966
_cell_length_c 31.8430
_cell_angle_alpha 90.00
_cell_angle_beta 90.00
_cell_angle_gamma 120.00
_symmetry_space_group_name_H-M 'R 3 m'
_symmetry_Int_Tables_number 160
_symmetry_space_group_name_Hall 'R 3 -2"'
loop_
_atom_site_label
_atom_site_type_symbol
_atom_site_fract_x
_atom_site_fract_y
_atom_site_fract_z
K1 K 0.0000 0.0000 0.0000
Sr1 Sr 0.0000 0.0000 0.2209
Sr2 Sr 0.0000 0.0000 0.4480
Bi1 Bi 0.0000 0.0000 0.8349
# Formation enthalpy at 0 K   -1.711 eV/f.u.
# Total magnetic moment   0.000 μB/f.u.
# Crystal system   trigonal
# E   -30.159 eV for the cell shown


[6]
# Mn2TcGeN (PBE, optimized geometry)
data_Mn2TcGeN
_cell_length_a 3.7899
_cell_length_b 3.7899
_cell_length_c 4.0954
_cell_angle_alpha 90.00
_cell_angle_beta 90.00
_cell_angle_gamma 90.00
_symmetry_space_group_name_H-M 'P 4/m m m'
_symmetry_Int_Tables_number 123
_symmetry_space_group_name_Hall '-P 4 2'
loop_
_atom_site_label
_atom_site_type_symbol
_atom_site_fract_x
_atom_site_fract_y
_atom_site_fract_z
Mn1 Mn 0.0000 0.5000 0.0000
Tc1 Tc 0.0000 0.0000 0.5000
Ge1 Ge 0.5000 0.5000 0.5000
N1 N 0.0000 0.0000 0.0000
# Total magnetic moment   2.472 μB/f.u.
# Crystal system   tetragonal
# E   -42.296 eV for the cell shown
# Formation energy without anion corrections   -0.130 eV/atom


Q: Among the records above, which one has the highest total magnetic moment?
A: Y2NpScS6


Please write out number 1 again, unchanged.
# SrIrO4 (PBE, optimized geometry)
data_SrIrO4
_cell_length_a 5.4433
_cell_length_b 13.1710
_cell_length_c 5.1688
_cell_angle_alpha 90.00
_cell_angle_beta 90.54
_cell_angle_gamma 90.00
_symmetry_space_group_name_H-M 'C 1 2/c 1'
_symmetry_Int_Tables_number 15
loop_
_symmetry_equiv_pos_as_xyz
'x,y,z'
'-x,-y,-z'
'-x,y,-z+1/2'
'x,-y,z+1/2'
'x+1/2,y+1/2,z'
'-x+1/2,-y+1/2,-z'
'-x+1/2,y+1/2,-z+1/2'
'x+1/2,-y+1/2,z+1/2'
loop_
_atom_site_label
_atom_site_type_symbol
_atom_site_fract_x
_atom_site_fract_y
_atom_site_fract_z
Sr1 Sr 0.0000 0.1667 0.2500
Ir1 Ir 0.0000 0.4323 0.2500
O1 O 0.1841 0.4558 0.5702
O2 O 0.2302 0.3326 0.1562
# Polymorph energy (0 for the lowest one)   0.00 eV/f.u.
# Total magnetic moment   0.924 μB/f.u.
# Crystal system   monoclinic
# E   -155.951 eV for the cell shown
# Formation energy without anion corrections   -1.435 eV/atom


Q: Number 3 is which compound?
A: TmThGa4


Copy entry 5 word for word.
# KSr2Bi (PBE, optimized geometry)
data_KSr2Bi
_cell_length_a 4.9966
_cell_length_b 4.9966
_cell_length_c 31.8430
_cell_angle_alpha 90.00
_cell_angle_beta 90.00
_cell_angle_gamma 120.00
_symmetry_space_group_name_H-M 'R 3 m'
_symmetry_Int_Tables_number 160
_symmetry_space_group_name_Hall 'R 3 -2"'
loop_
_atom_site_label
_atom_site_type_symbol
_atom_site_fract_x
_atom_site_fract_y
_atom_site_fract_z
K1 K 0.0000 0.0000 0.0000
Sr1 Sr 0.0000 0.0000 0.2209
Sr2 Sr 0.0000 0.0000 0.4480
Bi1 Bi 0.0000 0.0000 0.8349
# Formation enthalpy at 0 K   -1.711 eV/f.u.
# Total magnetic moment   0.000 μB/f.u.
# Crystal system   trigonal
# E   -30.159 eV for the cell shown